# PBE with a Hubbard U MnIBrO2, relaxed
data_MnIBrO2
_cell_length_a 4.026
_cell_length_b 4.026
_cell_length_c 6.841
_cell_angle_alpha 90.00
_cell_angle_beta 90.00
_cell_angle_gamma 90.00
_space_group_name_H-M_alt 'P 1'
_space_group_IT_number 1
loop_
_space_group_symop_operation_xyz
'x,y,z'
loop_
_atom_site_label
_atom_site_type_symbol
_atom_site_fract_x
_atom_site_fract_y
_atom_site_fract_z
Br1 Br 0.000 0.000 0.000
I1 I 0.000 0.000 0.500
O1 O 0.500 0.000 0.000
Mn1 Mn 0.500 0.500 0.500
O2 O 0.000 0.500 0.000
# DOS(E_F) (states/eV/cell): 2.09
# E above lowest polymorph (eV/atom): 0.663